DFT (PBE) results for a relaxed As2PdRu crystal.

Distance to the lowest polymorph of the same formula ... 0.1116 eV per atom
DFT formation energy ... 0.1 kJ per mole of atoms
Crystal system ... tetragonal
Calculated total energy ... -5.9414 eV per atom

abc: 5.6888 5.6888 10.6283
angles: 90.00 90.00 90.00
With the nearest neighbours (Å) after each atom.
Atoms (fractional coordinates):
1 As 0.2350 0.2500 0.1250  2 Ru 2.36, 2 Pd 2.46
2 As 0.2500 0.7350 0.3750  2 Ru 2.36, 2 Pd 2.46
3 As 0.2500 0.7650 0.8750  2 Ru 2.36, 2 Pd 2.46
4 As 0.2650 0.2500 0.6250  2 Ru 2.36, 2 Pd 2.46
5 As 0.7350 0.7500 0.6250  2 Ru 2.36, 2 Pd 2.46
6 As 0.7500 0.2350 0.8750  2 Ru 2.36, 2 Pd 2.46
7 As 0.7500 0.2650 0.3750  2 Ru 2.36, 2 Pd 2.46
8 As 0.7650 0.7500 0.1250  2 Ru 2.36, 2 Pd 2.46
9 Pd 0.0000 0.0000 0.5000  4 As 2.46
10 Pd 0.0000 0.5000 0.7500  4 As 2.46
11 Pd 0.5000 0.0000 0.2500  4 As 2.46
12 Pd 0.5000 0.5000 0.0000  4 As 2.46
13 Ru 0.0000 0.0000 0.0000  4 As 2.36
14 Ru 0.0000 0.5000 0.2500  4 As 2.36
15 Ru 0.5000 0.0000 0.7500  4 As 2.36
16 Ru 0.5000 0.5000 0.5000  4 As 2.36